The following is a DFT calculation (PBE) of crystalline Fe2ReTc at its relaxed geometry.

Properties
DOS at the Fermi energy: 4.97 states/eV/cell
Calculated formation energy: 0.108 eV/atom
Calculated volume: 51.8 Å³ per cell

Structure (extended XYZ):
```
4
Lattice="4.5452 -0.0578 0.0000 1.5134 4.2863 0.0000 -3.0293 -2.1142 2.6487" Properties=species:S:1:pos:R:3 pbc="T T T"
Fe 0.7567 2.1431 1.3244
Fe 0.0000 0.0000 0.0000
Re 3.0293 2.1142 0.0000
Tc 2.2726 -0.0289 1.3244
```